A geometry-optimized Ce2Zn2Tc2C structure. Source: Alexandria via LeMat-Bulk, functional GGA-PBE.

Calculated values
- Total energy: -45.351 eV for the cell shown
- D(E_F): 1.205 states/eV/atom
- Energy relative to the elements: -140 meV/atom

a = 3.5145 Å, b = 5.8821 Å, c = 6.4202 Å
α = 76.08°, β = 90.01°, γ = 72.62°
Element x y z (fractional)
Ce1 0.5062 0.9876 0.2820
Ce2 0.4938 0.0124 0.7180
C1 0.0000 0.0000 0.0000
Tc1 0.8172 0.3656 0.9286
Tc2 0.1828 0.6344 0.0714
Zn1 0.7979 0.4044 0.3816
Zn2 0.2021 0.5956 0.6184